# 1
Computed, not measured: Ca2CdAu after structural relaxation at the PBE level of DFT.

Output
**ΔE_f**: -0.41 eV per atom

Cell and atoms, written as extended XYZ:
```
4
Lattice="4.1487 0.0000 0.0000 0.0000 4.1487 0.0000 0.0000 0.0000 6.5220" Properties=species:S:1:pos:R:3 pbc="T T T"
Ca 0.0000 0.0000 0.0000
Ca 2.0743 2.0743 2.3547
Cd 0.0000 0.0000 3.4884
Au 2.0743 2.0743 5.6044
```

---

# 2
Computed, not measured: Ca2Cd3Au4 after structural relaxation at the PBE level of DFT.

Output
**Relative energy among the computed polymorphs**: 0.16 eV per formula unit
**ΔE_f**: -0.48 eV per atom

Cell and atoms, written as extended XYZ:
```
18
Lattice="3.0011 -8.5551 0.0000 3.0011 8.5551 0.0000 0.0000 0.0000 8.0237" Properties=species:S:1:pos:R:3 pbc="T T T"
Ca 3.0011 6.8195 7.2552
Ca 3.0011 1.7356 3.2434
Ca 3.0011 -1.7356 4.7803
Ca 3.0011 -6.8195 0.7685
Cd 0.0000 0.0000 4.0118
Cd 1.5005 4.0221 6.0178
Cd 1.5005 -4.0221 2.0059
Cd 3.0011 0.0000 0.0000
Cd 4.5016 4.0221 6.0178
Cd 4.5016 -4.0221 2.0059
Au 3.0011 5.7016 4.2491
Au 1.5005 1.1407 6.0178
Au 1.5005 -1.1407 2.0059
Au 3.0011 2.8536 0.2373
Au 3.0011 -2.8536 7.7864
Au 4.5016 1.1407 6.0178
Au 4.5016 -1.1407 2.0059
Au 3.0011 -5.7016 3.7746
```

---

# 3
Computed, not measured: CaCd4Au4 after structural relaxation at the PBE level of DFT.

Output
**ΔE_f**: -0.22 eV per atom

Cell and atoms, written as extended XYZ:
```
18
Lattice="9.1459 0.0000 0.0000 0.0000 9.1459 0.0000 0.0000 0.0000 5.5216" Properties=species:S:1:pos:R:3 pbc="T T T"
Ca 2.2865 2.2865 1.3804
Ca 6.8594 6.8594 4.1412
Cd 0.8681 5.8394 0.8084
Cd 1.2664 8.2778 3.5691
Cd 3.3065 5.4410 3.5691
Cd 3.7048 7.8794 0.8084
Cd 5.4410 1.2664 4.7132
Cd 5.8394 3.7048 1.9524
Cd 7.8794 0.8681 1.9524
Cd 8.2778 3.3065 4.7132
Au 0.4183 5.5943 3.6020
Au 1.0213 8.7276 0.8412
Au 3.5516 4.9912 0.8412
Au 4.1546 8.1245 3.6020
Au 4.9912 1.0213 1.9196
Au 5.5943 4.1546 4.6803
Au 8.1245 0.4183 4.6803
Au 8.7276 3.5516 1.9196
```

---

# 4
Computed, not measured: CaCdAu10 after structural relaxation at the PBE level of DFT.

Output
**ΔE_f**: -0.21 eV per atom

Cell and atoms, written as extended XYZ:
```
12
Lattice="4.7070 0.0000 0.0000 0.0000 5.5555 0.0000 0.0000 0.0000 9.6797" Properties=species:S:1:pos:R:3 pbc="T T T"
Ca 0.0000 0.0000 0.0000
Cd 0.0000 2.7778 4.8398
Au 0.0000 0.0000 3.2952
Au 0.0000 0.0000 6.3844
Au 0.0000 2.7778 1.7192
Au 0.0000 2.7778 7.9605
Au 2.3535 0.0000 4.8398
Au 2.3535 1.3642 2.3684
Au 2.3535 1.3642 7.3113
Au 2.3535 2.7778 0.0000
Au 2.3535 4.1914 2.3684
Au 2.3535 4.1914 7.3113
```

---

# 5
Computed, not measured: CaCd4Au5 after structural relaxation at the PBE level of DFT.

Output
**ΔE_f**: -0.30 eV per atom

Cell and atoms, written as extended XYZ:
```
10
Lattice="3.4962 0.0000 0.0000 0.0000 3.4962 0.0000 0.0000 0.0000 16.6972" Properties=species:S:1:pos:R:3 pbc="T T T"
Ca 0.0000 0.0000 0.0000
Cd 0.0000 0.0000 3.4932
Cd 0.0000 0.0000 6.7421
Cd 0.0000 0.0000 9.9552
Cd 0.0000 0.0000 13.2040
Au 1.7481 1.7481 1.8858
Au 1.7481 1.7481 5.1283
Au 1.7481 1.7481 8.3486
Au 1.7481 1.7481 11.5690
Au 1.7481 1.7481 14.8115
```

---

# 6
Computed, not measured: Ca5CdAu4 after structural relaxation at the PBE level of DFT.

Output
**ΔE_f**: -0.70 eV per atom

Cell and atoms, written as extended XYZ:
```
10
Lattice="3.6863 0.0000 0.0000 0.0000 3.6863 0.0000 0.0000 0.0000 18.3277" Properties=species:S:1:pos:R:3 pbc="T T T"
Ca 0.0000 0.0000 0.0000
Ca 0.0000 0.0000 3.5641
Ca 0.0000 0.0000 7.1147
Ca 0.0000 0.0000 11.2130
Ca 0.0000 0.0000 14.7636
Cd 1.8431 1.8431 9.1639
Au 1.8431 1.8431 1.7898
Au 1.8431 1.8431 5.3891
Au 1.8431 1.8431 12.9386
Au 1.8431 1.8431 16.5379
```

---

# 7
Computed, not measured: CaCd5Au2 after structural relaxation at the PBE level of DFT.

Output
**ΔE_f**: -0.30 eV per atom

Cell and atoms, written as extended XYZ:
```
8
Lattice="-2.0377 4.3794 5.2486 2.0377 -4.3794 5.2486 2.0377 4.3794 -5.2486" Properties=species:S:1:pos:R:3 pbc="T T T"
Ca 0.0000 0.0000 0.0000
Cd 2.0377 2.6710 -1.5282
Cd 2.0377 2.6710 1.5282
Cd 0.0000 4.3794 0.0000
Cd 0.0000 1.7085 3.7203
Cd 0.0000 1.7085 6.7768
Au 2.0377 0.0000 2.3642
Au 0.0000 4.3794 2.8843
```

---

# 8
Computed, not measured: Ca2CdAu after structural relaxation at the PBE level of DFT.

Output
**ΔE_f**: -0.57 eV per atom

Cell and atoms, written as extended XYZ:
```
4
Lattice="3.7417 0.0000 0.0000 0.0000 3.6913 0.0000 -0.0299 0.0000 7.5603" Properties=species:S:1:pos:R:3 pbc="T T T"
Ca -0.0059 0.0000 1.7537
Ca 3.7178 0.0000 5.8067
Cd 1.8559 1.8456 3.7802
Au 1.8709 1.8456 0.0000
```

---

# 9
Computed, not measured: Ca2CdAu after structural relaxation at the PBE level of DFT.

Output
**ΔE_f**: -0.41 eV per atom

Cell and atoms, written as extended XYZ:
```
4
Lattice="-2.2474 2.2474 5.1757 2.2474 -2.2474 5.1757 2.2474 2.2474 -5.1757" Properties=species:S:1:pos:R:3 pbc="T T T"
Ca 0.0000 0.0000 0.0000
Ca 0.0000 2.2474 2.5878
Cd 2.2474 0.0000 2.5878
Au 0.0000 0.0000 5.1757
```

---

# 10
Computed, not measured: Ca4Cd5Au2 after structural relaxation at the PBE level of DFT.

Output
**ΔE_f**: -0.46 eV per atom

Cell and atoms, written as extended XYZ:
```
11
Lattice="7.8164 0.0000 0.0000 0.0000 3.7566 0.0000 -0.6239 0.0000 9.8788" Properties=species:S:1:pos:R:3 pbc="T T T"
Ca 1.1134 0.0000 3.6401
Ca 1.2999 0.0000 9.3275
Ca 5.8927 0.0000 0.5513
Ca 6.0792 0.0000 6.2387
Cd 1.1024 1.8783 6.4867
Cd 3.3713 1.8783 1.8756
Cd 3.5963 1.8783 4.9394
Cd 3.8212 1.8783 8.0032
Cd 6.0902 1.8783 3.3922
Au 0.4315 1.8783 1.3980
Au 6.7610 1.8783 8.4808
```

---

# 11
Computed, not measured: Ca3Cd2Au4 after structural relaxation at the PBE level of DFT.

Output
**Relative energy among the computed polymorphs**: 0.00 eV per formula unit
**ΔE_f**: -0.63 eV per atom

Cell and atoms, written as extended XYZ:
```
9
Lattice="5.6826 -2.3601 0.0000 5.6826 2.3601 0.0000 -3.9961 0.0000 8.1372" Properties=species:S:1:pos:R:3 pbc="T T T"
Ca 0.0000 0.0000 0.0000
Ca 2.8673 0.0000 2.4920
Ca 4.5018 0.0000 5.6451
Cd 1.1701 0.0000 5.4459
Cd 6.1990 0.0000 2.6913
Au -0.8419 0.0000 3.2643
Au -0.6001 0.0000 7.5905
Au 7.9692 0.0000 0.5467
Au 8.2111 0.0000 4.8728
```

---

# 12
Computed, not measured: Ca3Cd7Au4 after structural relaxation at the PBE level of DFT.

Output
**ΔE_f**: -0.45 eV per atom

Cell and atoms, written as extended XYZ:
```
14
Lattice="8.3311 -2.2608 0.0000 8.3311 2.2608 0.0000 -5.9200 0.0000 8.8251" Properties=species:S:1:pos:R:3 pbc="T T T"
Ca 0.0000 0.0000 0.0000
Ca 3.3042 0.0000 2.5523
Ca 7.4380 0.0000 6.2728
Cd -2.9600 0.0000 4.4126
Cd 0.1286 0.0000 3.8309
Cd -0.4204 0.0000 8.7118
Cd 4.0744 0.0000 6.0653
Cd 6.6678 0.0000 2.7598
Cd 11.1626 0.0000 0.1133
Cd 10.6136 0.0000 4.9942
Au -2.9215 0.0000 7.2555
Au 1.2999 0.0000 6.5465
Au 9.4423 0.0000 2.2786
Au 13.6637 0.0000 1.5697
```

---

| no. | total magnetization (μB/f.u.) |
| --- | --- |
| 1 | 0.0 |
| 2 | 0.0 |
| 3 | 0.0 |
| 4 | 0.0 |
| 5 | 0.0 |
| 6 | 0.0 |
| 7 | 0.0 |
| 8 | 0.0 |
| 9 | 0.0 |
| 10 | 0.0 |
| 11 | 0.0 |
| 12 | 0.0 |